14
Lattice="4.4492 0.0000 0.6702 2.1870 5.7575 0.5849 0.1525 0.1749 14.0908" Properties=species:S:1:pos:R:3 comment="Ca3Zn3Cd GGA-PBE optimized geometry" e_form_kj_per_mol_atoms=-25 dft_energy_ev_per_atom=-1.794 crystal_system=monoclinic pbc="T T T"
Zn 1.2646 1.8540 6.7079
Zn 0.6179 1.0810 11.0013
Zn 4.2868 0.7172 1.7480
Zn 6.1707 4.8514 4.3446
Zn 2.5018 5.2152 13.5979
Zn 5.5240 4.0784 8.6380
Ca 4.2673 4.0586 1.8777
Ca 1.7460 1.5375 3.5123
Ca 5.0426 4.3949 11.8336
Ca 3.1478 2.0129 9.3091
Ca 3.6408 3.9195 6.0368
Ca 2.5213 1.8738 13.4682
Cd 3.1719 5.3853 9.1490
Cd 3.6166 0.5471 6.1968